Entry from Alexandria: crystalline Ti2Re2W7 at its relaxed geometry (PBE-GGA).

Output
Symmetry: C2/m (12)
Total DFT energy (no corrections) (eV per atom): -11.729
Crystal system: monoclinic
N(E_F) (states/eV/f.u.): 9.70
Volume (Å³ per cell): 186

Lattice parameters (Å, degrees): 5.175 6.297 6.297 88.92 72.50 72.50
Positions (direct):
Ti 0.500 0.213 0.787
W 0.834 0.425 0.913
Ti 0.500 0.787 0.213
W 0.829 0.409 0.409
W 0.000 0.000 0.000
Re 0.509 0.733 0.733
Re 0.491 0.267 0.267
W 0.834 0.913 0.425
W 0.171 0.591 0.591
W 0.166 0.087 0.575
W 0.166 0.575 0.087